Material: PmTmGaRu
Method: DFT, GGA-PBE
State: optimized geometry

```
PmTmGaRu
1.0
0.000 3.512 3.512
3.512 0.000 3.512
3.512 3.512 0.000
Pm Tm Ga Ru
1 1 1 1
direct
0.000 0.000 0.000 Pm
0.500 0.500 0.500 Tm
0.750 0.750 0.750 Ga
0.250 0.250 0.250 Ru
```

## Properties
Relative energy among the computed polymorphs ... 49 meV per atom
Calculated formation energy ... -0.406 eV per atom
Space-group type ... F-43m
Magnetization ... 0.00 μB per formula unit